Computed, not measured: an optimized crystal structure of Ti5Zn4Co2 at the PBE level of DFT.

## Properties
E_tot   -5.654 eV per atom
Volume   323.8 Å³/cell
Total magnetization   0.1036 μB per atom
Energy of formation   -0.31 eV per atom
Space group   No. 55

a b c (Å): 2.970 6.833 15.955
angles (deg): 90.00 90.00 90.00
Positions (direct):
1 Ti 0.000 0.000 0.500
2 Ti 0.000 0.233 0.220
3 Co 0.500 0.447 0.308
4 Ti 0.000 0.767 0.780
5 Ti 0.000 0.733 0.280
6 Zn 0.500 0.202 0.070
7 Ti 0.000 0.637 0.581
8 Zn 0.500 0.298 0.570
9 Co 0.500 0.947 0.192
10 Co 0.500 0.553 0.692
11 Ti 0.000 0.137 0.919
12 Zn 0.500 0.445 0.850
13 Zn 0.500 0.798 0.930
14 Zn 0.500 0.055 0.350
15 Ti 0.000 0.267 0.720
16 Zn 0.500 0.702 0.430
17 Ti 0.000 0.500 0.000
18 Ti 0.000 0.363 0.419
19 Co 0.500 0.053 0.808
20 Zn 0.500 0.945 0.650
21 Zn 0.500 0.555 0.150
22 Ti 0.000 0.863 0.081

***

Computed, not measured: an optimized crystal structure of NbCuPt6 at the PBE level of DFT.

## Properties
E_tot   -6.738 eV per atom
Volume   494.5 Å³/cell
Total magnetization   0.0000 μB per atom
Energy of formation   -0.44 eV per atom
Space group   No. 65

a b c (Å): 6.845 6.845 11.193
angles (deg): 90.00 90.00 109.45
Positions (direct):
1 Pt 0.125 0.375 0.875
2 Pt 0.500 0.500 0.500
3 Pt 0.875 0.625 0.125
4 Nb 0.246 0.754 0.500
5 Pt 0.125 0.375 0.125
6 Cu 0.500 0.500 0.245
7 Pt 0.375 0.125 0.125
8 Pt 0.624 0.875 0.625
9 Pt 0.375 0.125 0.875
10 Pt 0.875 0.624 0.375
11 Pt 0.125 0.376 0.375
12 Cu 0.500 0.500 0.755
13 Pt 0.249 0.751 0.250
14 Pt 0.000 0.000 0.000
15 Pt 0.249 0.751 0.750
16 Pt 0.000 0.000 0.500
17 Pt 0.625 0.875 0.125
18 Nb 0.754 0.246 0.500
19 Cu 0.749 0.251 0.000
20 Pt 0.875 0.625 0.875
21 Pt 0.751 0.249 0.250
22 Pt 0.125 0.376 0.625
23 Pt 0.625 0.875 0.875
24 Pt 0.875 0.624 0.625
25 Pt 0.751 0.249 0.750
26 Cu 0.251 0.749 0.000
27 Nb 0.000 0.000 0.759
28 Pt 0.624 0.875 0.375
29 Pt 0.376 0.125 0.375
30 Nb 0.000 0.000 0.241
31 Pt 0.376 0.125 0.625
32 Pt 0.500 0.500 0.000